! Na2LaNpN4 GGA-PBE optimized geometry; values from VASP
! Calculated density   6.29 g/cm³
! Crystal system   monoclinic
! Space group   P2/m (10)
! E_tot   -7.522 eV per atom
! ΔE_f (raw)   -6.36 eV per formula unit
! Calculated volume   126.1 Å³/cell
! Size of the total moment   0.00 μB/f.u.
&SYSTEM
  ibrav = 0, nat = 8, ntyp = 4
/
ATOMIC_SPECIES
Na 22.99 Na.upf
La 138.91 La.upf
Np 237.00 Np.upf
N 14.01 N.upf
ATOMIC_POSITIONS angstrom
Na 0.0000 0.0000 0.0000
Na -1.1100 1.7981 2.9032
La 1.9088 0.0000 2.9032
Np 3.0188 1.7981 0.0000
N 0.1077 0.0000 4.6296
N 1.4489 1.7981 1.2191
N 2.3687 1.7981 4.5873
N 3.7098 0.0000 1.1768
CELL_PARAMETERS angstrom
6.0376 0.0000 0.0000
0.0000 3.5962 0.0000
-2.2201 0.0000 5.8064